No. 1
Compound: LiCoNiPb
Source: the Open Quantum Materials Database
Functional: PBE
Structure: relaxed

Symmetry = F-43m
E_tot = -4.434 eV/atom
Excess energy over the best structure of this formula in the dataset = 0 meV/atom

a b c (Å): 4.303 4.303 4.303
angles (deg): 60.00 60.00 60.00
Element x y z (fractional)
Co: 0.250 0.250 0.250
Li: 0.500 0.500 0.500
Ni: 0.750 0.750 0.750
Pb: 0.000 0.000 0.000


No. 2
Compound: LiCoNiPb
Source: the Open Quantum Materials Database
Functional: PBE
Structure: relaxed

Symmetry = F-43m
E_tot = -4.386 eV/atom
Excess energy over the best structure of this formula in the dataset = 48 meV/atom

a b c (Å): 4.275 4.275 4.275
angles (deg): 60.00 60.00 60.00
Element x y z (fractional)
Co: 0.500 0.500 0.500
Li: 0.250 0.250 0.250
Ni: 0.750 0.750 0.750
Pb: 0.000 0.000 0.000